# ReSi2Os, relaxed, DFT PBE
# **Uncorrected formation energy**: 0.15 eV/atom
data_ReSi2Os
_space_group_name_H-M_alt 'C m m m'
_space_group_IT_number 65
_space_group_name_Hall '-C 2 2'
_cell_length_a 2.919
_cell_length_b 4.933
_cell_length_c 7.852
_cell_angle_alpha 90.00
_cell_angle_beta 90.00
_cell_angle_gamma 90.00
loop_
_atom_site_label
_atom_site_type_symbol
_atom_site_fract_x
_atom_site_fract_y
_atom_site_fract_z
_atom_site_occupancy
Re1 Re 0.000 0.000 0.000 1
Si1 Si 0.000 0.500 0.251 1
Os1 Os 0.000 0.000 0.500 1